No. 1
First-principles (PBE) data for a relaxed structure of RbBaSn6, as listed in the Alexandria database.

Unit cell a=5.6665 b=7.4463 c=7.4463 alpha=119.70 beta=90.00 gamma=90.00
With the nearest neighbours (Å) after each atom.
Element x y z (fractional)
Ba (0.5000, 0.9156, 0.0844)  12 Sn 3.75-3.81
Sn (0.0000, 0.5210, 0.8841)  6 Sn 3.03-3.34
Sn (0.0000, 0.1131, 0.8869)  6 Sn 3.05-3.33
Sn (0.0000, 0.1159, 0.4790)  6 Sn 3.03-3.34
Sn (0.5000, 0.9789, 0.6158)  6 Sn 3.03-3.34
Sn (0.5000, 0.3868, 0.6132)  6 Sn 3.05-3.33
Sn (0.5000, 0.3842, 0.0211)  6 Sn 3.03-3.34
Rb (0.0000, 0.5845, 0.4155)  12 Sn 3.74-3.81

V = 273 Å³/f.u.
Space-group type = Amm2
ΔH_f (0 K) = -267 meV per atom
Crystal system = orthorhombic



No. 2
First-principles (PBE) data for a relaxed structure of ZnAgW2, as listed in the Alexandria database.

Unit cell a=2.6918 b=2.6918 c=8.7625 alpha=90.00 beta=90.00 gamma=90.00
With the nearest neighbours (Å) after each atom.
Element x y z (fractional)
W (0.0000, 0.0000, 0.4890)  4 W 2.69, 4 Zn 2.83, 4 Ag 2.98
W (0.0000, 0.0000, 0.0110)  4 W 2.69, 4 Zn 2.83, 4 Ag 2.98
Ag (0.5000, 0.5000, 0.7500)  4 Ag 2.69, 8 W 2.98
Zn (0.5000, 0.5000, 0.2500)  4 Zn 2.69, 8 W 2.83

V = 63 Å³/f.u.
Space-group type = P4/mmm
ΔH_f (0 K) = 487 meV per atom
Crystal system = tetragonal



No. 3
First-principles (PBE) data for a relaxed structure of TaV2H, as listed in the Alexandria database.

Unit cell a=2.6305 b=2.6305 c=7.0637 alpha=90.00 beta=90.00 gamma=90.00
With the nearest neighbours (Å) after each atom.
Element x y z (fractional)
Ta (0.5000, 0.5000, 0.5000)  4 Ta 2.63
V (0.0000, 0.0000, 0.8248)  4 H 2.23, 1 V 2.47
V (0.0000, 0.0000, 0.1752)  4 H 2.23, 1 V 2.47
H (0.5000, 0.5000, 0.0000)  8 V 2.23

V = 49 Å³/f.u.
Offset from the most stable computed form = 293 meV per atom
Space-group type = P4/mmm
Crystal system = tetragonal



No. 4
First-principles (PBE) data for a relaxed structure of KVCr2, as listed in the Alexandria database.

Unit cell a=5.6456 b=5.6456 c=8.3622 alpha=70.27 beta=70.27 gamma=90.00
With the nearest neighbours (Å) after each atom.
Element x y z (fractional)
V (0.0000, 0.0000, 0.0000)  4 Cr 2.32
V (0.7500, 0.2500, 0.5000)  4 Cr 2.32
Cr (0.8750, 0.1275, 0.7500)  2 V 2.32
Cr (0.8725, 0.6250, 0.2500)  2 V 2.32
Cr (0.8775, 0.1250, 0.2500)  2 V 2.32
Cr (0.3750, 0.1225, 0.7500)  2 V 2.32
K (0.5000, 0.5000, 0.0000)  8 Cr 3.64-3.66, 4 V 3.99
K (0.2500, 0.7500, 0.5000)  8 Cr 3.64-3.66, 4 V 3.99

V = 117 Å³/f.u.
Offset from the most stable computed form = 118 meV per atom
Space-group type = I-42d
ΔH_f (0 K) = 1545 meV per atom
Crystal system = tetragonal



no.,total energy (eV/atom),M_tot (μB/f.u.)
1,-3.631,0.0
2,-7.021,0.0
3,-8.072,0.0
4,-5.821,4.9